1.
The following is a PBE-GGA calculation of a relaxed BiAsIr2I crystal, from Alexandria via LeMat-Bulk.

Results
**Energy relative to the elements, uncorrected**: 0.9226 eV/atom
**Volume**: 25.3 Å³/atom

Unit cell a=4.616 b=5.935 c=4.616 alpha=90.00 beta=90.00 gamma=90.00
Fractional positions:
I1 0.000 0.500 0.000
Ir1 0.500 0.000 0.000
Ir2 0.000 0.000 0.500
As1 0.000 0.000 0.000
Bi1 0.500 0.500 0.500

2.
The following is a PBE-GGA calculation of a relaxed TmIn2Pb crystal, from Alexandria via LeMat-Bulk.

Results
**Formation enthalpy at 0 K**: -0.158 eV/atom
**Volume**: 27.1 Å³/atom

Unit cell a=3.908 b=3.908 c=7.100 alpha=90.00 beta=90.00 gamma=90.00
Fractional positions:
In1 0.000 0.000 0.251
In2 0.000 0.000 0.749
Tm1 0.500 0.500 0.000
Pb1 0.500 0.500 0.500

3.
The following is a PBE-GGA calculation of a relaxed Pr5Si2Ge crystal, from Alexandria via LeMat-Bulk.

Results
**Energy relative to the elements, uncorrected**: -0.6207 eV/atom
**Volume**: 27.4 Å³/atom

Unit cell a=7.907 b=7.907 c=8.978 alpha=116.13 beta=116.13 gamma=90.00
Fractional positions:
Si1 0.885 0.615 0.000
Si2 0.385 0.885 0.000
Si3 0.615 0.115 0.000
Si4 0.115 0.385 0.000
Pr1 0.500 0.500 0.000
Pr2 0.468 0.322 0.290
Pr3 0.968 0.468 0.290
Pr4 0.322 0.822 0.290
Pr5 0.822 0.968 0.290
Pr6 0.000 0.000 0.000
Pr7 0.532 0.678 0.710
Pr8 0.178 0.032 0.710
Pr9 0.678 0.178 0.710
Pr10 0.032 0.532 0.710
Ge1 0.250 0.250 0.500
Ge2 0.750 0.750 0.500

4.
The following is a PBE-GGA calculation of a relaxed ZrHg4Rh crystal, from Alexandria via LeMat-Bulk.

Results
**Formation enthalpy at 0 K**: 0.333 eV/atom
**Volume**: 21.1 Å³/atom

Unit cell a=5.634 b=5.634 c=5.634 alpha=60.00 beta=60.00 gamma=60.00
Fractional positions:
Zr1 0.000 0.000 0.000
Hg1 0.874 0.375 0.375
Hg2 0.375 0.375 0.874
Hg3 0.375 0.874 0.375
Hg4 0.375 0.375 0.375
Rh1 0.750 0.750 0.750

5.
The following is a PBE-GGA calculation of a relaxed LiIn2Os crystal, from Alexandria via LeMat-Bulk.

Results
**Formation enthalpy at 0 K**: 0.393 eV/atom
**Volume**: 17.7 Å³/atom

Unit cell a=4.641 b=4.641 c=4.641 alpha=60.00 beta=60.00 gamma=60.00
Fractional positions:
Os1 0.750 0.750 0.750
Li1 0.500 0.500 0.500
In1 0.000 0.000 0.000
In2 0.250 0.250 0.250

6.
The following is a PBE-GGA calculation of a relaxed CaScTlBr6 crystal, from Alexandria via LeMat-Bulk.

Results
**Energy relative to the elements, uncorrected**: -1.6411 eV/atom
**Volume**: 36.6 Å³/atom

Unit cell a=7.293 b=7.293 c=14.308 alpha=90.00 beta=90.00 gamma=120.00
Fractional positions:
Br1 0.976 0.358 0.140
Br2 0.976 0.618 0.360
Br3 0.358 0.976 0.640
Br4 0.024 0.642 0.860
Br5 0.618 0.976 0.860
Br6 0.358 0.382 0.860
Br7 0.642 0.024 0.360
Br8 0.618 0.642 0.640
Br9 0.382 0.024 0.140
Br10 0.382 0.358 0.360
Br11 0.642 0.618 0.140
Br12 0.024 0.382 0.640
Sc1 0.333 0.667 0.750
Sc2 0.667 0.333 0.250
Tl1 0.000 0.000 0.000
Tl2 0.000 0.000 0.500
Ca1 0.333 0.667 0.250
Ca2 0.667 0.333 0.750

7.
The following is a PBE-GGA calculation of a relaxed KMg3Tl crystal, from Alexandria via LeMat-Bulk.

Results
**Offset from the most stable computed form**: 666 meV per atom
**Formation enthalpy at 0 K**: 0.894 eV/atom
**Volume**: 47.1 Å³/atom

Unit cell a=6.174 b=6.174 c=6.174 alpha=90.00 beta=90.00 gamma=90.00
Fractional positions:
Tl1 0.500 0.500 0.500
Mg1 0.000 0.000 0.500
Mg2 0.500 0.000 0.000
Mg3 0.000 0.500 0.000
K1 0.000 0.000 0.000

8.
The following is a PBE-GGA calculation of a relaxed Ba2InCu4Ge3 crystal, from Alexandria via LeMat-Bulk.

Results
**Formation enthalpy at 0 K**: -0.257 eV/atom
**Volume**: 21.3 Å³/atom

Unit cell a=4.481 b=4.481 c=10.631 alpha=90.00 beta=90.00 gamma=90.00
Fractional positions:
Cu1 0.000 0.500 0.360
Cu2 0.500 0.000 0.640
Cu3 0.500 0.500 0.000
Cu4 0.000 0.000 0.000
Ba1 0.500 0.000 0.238
Ba2 0.000 0.500 0.762
In1 0.500 0.500 0.500
Ge1 0.500 0.000 0.885
Ge2 0.000 0.500 0.115
Ge3 0.000 0.000 0.500

9.
The following is a PBE-GGA calculation of a relaxed MgSc2TlNi crystal, from Alexandria via LeMat-Bulk.

Results
**Formation enthalpy at 0 K**: -0.111 eV/atom
**Volume**: 22.3 Å³/atom

Unit cell a=4.810 b=4.810 c=4.809 alpha=90.00 beta=90.00 gamma=90.00
Fractional positions:
Sc1 0.000 0.500 0.000
Sc2 0.500 0.000 0.000
Ni1 0.000 0.000 0.000
Mg1 0.000 0.000 0.500
Tl1 0.500 0.500 0.500

10.
The following is a PBE-GGA calculation of a relaxed V7Cr2Mo2 crystal, from Alexandria via LeMat-Bulk.

Results
**Offset from the most stable computed form**: 0 meV per atom
**Formation enthalpy at 0 K**: 0.275 eV/atom
**Volume**: 14.2 Å³/atom

Unit cell a=4.791 b=9.075 c=6.197 alpha=42.93 beta=67.49 gamma=58.48
Fractional positions:
V1 0.183 0.602 0.429
V2 0.817 0.398 0.571
V3 0.817 0.968 0.429
V4 0.317 0.183 0.000
V5 0.000 0.000 0.000
V6 0.683 0.817 0.000
V7 0.183 0.032 0.571
Cr1 0.500 0.782 0.437
Cr2 0.500 0.218 0.563
Mo1 0.244 0.503 0.000
Mo2 0.756 0.497 0.000

11.
The following is a PBE-GGA calculation of a relaxed HoTiZnPd crystal, from Alexandria via LeMat-Bulk.

Results
**Formation enthalpy at 0 K**: -0.352 eV/atom
**Volume**: 19.0 Å³/atom

Unit cell a=4.754 b=4.754 c=4.754 alpha=60.00 beta=60.00 gamma=60.00
Fractional positions:
Ti1 0.250 0.250 0.250
Zn1 0.500 0.500 0.500
Pd1 0.000 0.000 0.000
Ho1 0.750 0.750 0.750

12.
The following is a PBE-GGA calculation of a relaxed Cd2SbBr2 crystal, from Alexandria via LeMat-Bulk.

Results
**Offset from the most stable computed form**: 130 meV per atom
**Energy relative to the elements, uncorrected**: 0.0091 eV/atom
**Volume**: 28.7 Å³/atom

Unit cell a=7.053 b=7.053 c=7.053 alpha=140.00 beta=140.00 gamma=57.85
Fractional positions:
Br1 0.250 0.750 0.500
Br2 0.750 0.250 0.500
Cd1 0.612 0.612 0.000
Cd2 0.388 0.388 0.000
Sb1 0.000 0.000 0.000

13.
The following is a PBE-GGA calculation of a relaxed La3TmC crystal, from Alexandria via LeMat-Bulk.

Results
**Formation enthalpy at 0 K**: 0.085 eV/atom
**Volume**: 30.0 Å³/atom

Unit cell a=5.316 b=5.316 c=5.316 alpha=90.00 beta=90.00 gamma=90.00
Fractional positions:
Tm1 0.500 0.500 0.500
La1 0.000 0.000 0.500
La2 0.500 0.000 0.000
La3 0.000 0.500 0.000
C1 0.000 0.000 0.000